Co3NiPt12: relaxed, PBE-GGA.

```
16
Lattice="3.884 0.000 0.000 0.000 3.884 0.000 0.000 0.000 15.603" Properties=species:S:1:pos:R:3 pbc="T T T"
Co 0.000 0.000 0.000
Co 0.000 0.000 3.924
Co 0.000 0.000 11.679
Ni 0.000 0.000 7.802
Pt 0.000 1.942 1.950
Pt 0.000 1.942 5.843
Pt 0.000 1.942 9.760
Pt 0.000 1.942 13.653
Pt 1.942 0.000 1.950
Pt 1.942 0.000 5.843
Pt 1.942 0.000 9.760
Pt 1.942 0.000 13.653
Pt 1.942 1.942 0.000
Pt 1.942 1.942 3.895
Pt 1.942 1.942 7.802
Pt 1.942 1.942 11.708
```

DFT formation energy, eV/atom: -0.0740

---

Co2Ni4Pt3: relaxed, PBE-GGA.

```
18
Lattice="4.723 0.000 0.000 -1.566 7.254 0.000 -1.579 -2.466 6.829" Properties=species:S:1:pos:R:3 pbc="T T T"
Co 0.332 -0.117 1.146
Co 0.452 1.276 3.142
Co 1.126 3.512 3.687
Co 1.246 4.905 5.683
Ni -1.981 -0.028 6.566
Ni -0.764 -0.520 4.405
Ni -0.020 5.335 2.405
Ni 1.197 3.472 1.206
Ni 0.381 1.316 5.624
Ni 1.598 -0.547 4.424
Ni 2.342 5.308 2.424
Ni 3.559 4.816 0.264
Pt -1.170 2.999 2.167
Pt -1.175 4.400 4.551
Pt 0.385 -1.091 6.683
Pt 1.192 5.879 0.147
Pt 2.753 0.388 2.278
Pt 2.748 1.788 4.662
```

E above lowest polymorph, eV per formula unit: 1.26
DFT formation energy, eV/atom: 0.0523

---

Please write out number 2 again, unchanged.
Co2Ni4Pt3: relaxed, PBE-GGA.

```
18
Lattice="4.723 0.000 0.000 -1.566 7.254 0.000 -1.579 -2.466 6.829" Properties=species:S:1:pos:R:3 pbc="T T T"
Co 0.332 -0.117 1.146
Co 0.452 1.276 3.142
Co 1.126 3.512 3.687
Co 1.246 4.905 5.683
Ni -1.981 -0.028 6.566
Ni -0.764 -0.520 4.405
Ni -0.020 5.335 2.405
Ni 1.197 3.472 1.206
Ni 0.381 1.316 5.624
Ni 1.598 -0.547 4.424
Ni 2.342 5.308 2.424
Ni 3.559 4.816 0.264
Pt -1.170 2.999 2.167
Pt -1.175 4.400 4.551
Pt 0.385 -1.091 6.683
Pt 1.192 5.879 0.147
Pt 2.753 0.388 2.278
Pt 2.748 1.788 4.662
```

E above lowest polymorph, eV per formula unit: 1.26
DFT formation energy, eV/atom: 0.0523

---

What did the second record say?
Co2Ni4Pt3: relaxed, PBE-GGA.

```
18
Lattice="4.723 0.000 0.000 -1.566 7.254 0.000 -1.579 -2.466 6.829" Properties=species:S:1:pos:R:3 pbc="T T T"
Co 0.332 -0.117 1.146
Co 0.452 1.276 3.142
Co 1.126 3.512 3.687
Co 1.246 4.905 5.683
Ni -1.981 -0.028 6.566
Ni -0.764 -0.520 4.405
Ni -0.020 5.335 2.405
Ni 1.197 3.472 1.206
Ni 0.381 1.316 5.624
Ni 1.598 -0.547 4.424
Ni 2.342 5.308 2.424
Ni 3.559 4.816 0.264
Pt -1.170 2.999 2.167
Pt -1.175 4.400 4.551
Pt 0.385 -1.091 6.683
Pt 1.192 5.879 0.147
Pt 2.753 0.388 2.278
Pt 2.748 1.788 4.662
```

E above lowest polymorph, eV per formula unit: 1.26
DFT formation energy, eV/atom: 0.0523